# MgCrP2O

A relaxed structure of MgCrP2O (GGA+U, Alexandria).

```
MgCrP2O
1.0
4.9316 0.0000 0.0000
0.0000 4.9316 0.0000
0.0000 0.0000 3.5186
Mg Cr P O
1 1 2 1
Direct
0.0000 0.0000 0.0000
0.5000 0.5000 0.5000
0.0000 0.5000 0.5000
0.5000 0.0000 0.5000
0.5000 0.5000 0.0000
```

DFT total energy: -25.411 eV for the cell shown
energy above the lowest structure with this stoichiometry: 0.000 eV per atom